Record 1
Computed, not measured: crystalline HoEr5Cd3 at its relaxed geometry at the PBE-GGA level of DFT.

Cell: 6.8762 9.0932 9.0931 Å, 120.00 90.00 90.00°
Closest atoms and distances in Å follow each position.
Sites, in units of the cell vectors:
Er  0.2500  0.6663  0.0000  3 Cd 3.03
Cd  0.7500  0.3332  0.3331  3 Er 3.03
Er  0.5000  0.3334  0.6667  8 Er 3.44-3.48, 6 Cd 3.48-3.49
Er  0.2500  0.0000  0.6662  3 Cd 3.03
Cd  0.2500  0.6668  0.6669  3 Er 3.03
Er  0.0000  0.6666  0.3333  8 Er 3.44-3.48, 6 Cd 3.48-3.49
Ho  0.5000  0.0000  0.0000  2 Ho 3.44, 6 Cd 3.48, 6 Er 3.49
Er  0.7500  0.3337  0.0000  3 Cd 3.03
Er  0.2500  0.3338  0.3338  3 Cd 3.03
Cd  0.7500  0.0001  0.6669  3 Er 3.03
Ho  0.0000  0.0000  0.0000  2 Ho 3.44, 6 Cd 3.48, 6 Er 3.49
Er  0.5000  0.6666  0.3333  8 Er 3.44-3.48, 6 Cd 3.48-3.49
Cd  0.7500  0.6667  0.0000  3 Er 3.03
Cd  0.2500  0.9999  0.3331  3 Er 3.03
Er  0.7500  0.6662  0.6662  3 Cd 3.03
Er  0.0000  0.3334  0.6667  8 Er 3.44-3.48, 6 Cd 3.48-3.49
Er  0.7500  0.0000  0.3338  3 Cd 3.03
Cd  0.2500  0.3333  0.0000  3 Er 3.03

## Properties
SG ... P6_3/mcm (193)
Energy of formation ... -189 meV per atom
DOS(E_F) ... 8.9 states/eV/cell

---

Record 2
Computed, not measured: crystalline Ho12Er6Cd at its relaxed geometry at the PBE-GGA level of DFT.

Cell: 8.7292 9.3939 9.9248 Å, 121.40 74.87 74.19°
Closest atoms and distances in Å follow each position.
Sites, in units of the cell vectors:
Er  0.6764  0.5029  0.8835  7 Ho 3.21-3.58, 2 Er 3.37-3.47
Ho  0.2924  0.0884  0.1433  3 Ho 3.23-3.57, 1 Cd 3.32, 1 Er 3.57
Ho  0.9910  0.0207  0.6750  4 Ho 3.24-3.38, 1 Cd 3.35, 3 Er 3.42-3.60
Er  0.8573  0.7086  0.3886  6 Ho 3.16-3.54, 2 Er 3.47-3.50
Ho  0.6690  0.4052  0.1841  1 Cd 3.19, 3 Er 3.24-3.54, 3 Ho 3.34-3.54
Ho  0.1816  0.5668  0.5081  5 Er 3.30-3.60, 4 Ho 3.32-3.62
Ho  0.8996  0.7094  0.0333  4 Er 3.21-3.45, 1 Cd 3.23, 4 Ho 3.29-3.57
Er  0.3236  0.4971  0.1165  7 Ho 3.21-3.58, 2 Er 3.37-3.47
Ho  0.7076  0.9116  0.8567  3 Ho 3.23-3.57, 1 Cd 3.32, 1 Er 3.57
Er  0.4238  0.8189  0.6576  10 Ho 3.36-3.71, 1 Cd 3.48, 1 Er 3.50
Er  0.5762  0.1811  0.3424  10 Ho 3.36-3.71, 1 Cd 3.48, 1 Er 3.50
Ho  0.4454  0.8524  0.3309  5 Er 3.16-3.54, 1 Ho 3.35
Er  0.1427  0.2914  0.6114  6 Ho 3.16-3.54, 2 Er 3.47-3.50
Ho  0.3310  0.5948  0.8159  1 Cd 3.19, 3 Er 3.24-3.54, 3 Ho 3.34-3.54
Ho  0.0090  0.9793  0.3250  4 Ho 3.24-3.38, 1 Cd 3.35, 3 Er 3.42-3.60
Ho  0.5546  0.1476  0.6691  5 Er 3.16-3.54, 1 Ho 3.35
Ho  0.1004  0.2906  0.9667  4 Er 3.21-3.45, 1 Cd 3.23, 4 Ho 3.29-3.57
Ho  0.8184  0.4332  0.4919  5 Er 3.30-3.60, 4 Ho 3.32-3.62
Cd  0.0000  0.0000  0.0000  8 Ho 3.19-3.35, 2 Er 3.48

## Properties
SG ... P-1 (2)
Polymorph energy (0 for the lowest one) ... 0.00 eV per formula unit
Energy of formation ... 70 meV per atom
DOS(E_F) ... 22.4 states/eV/cell

---

Record 3
Computed, not measured: crystalline Ho2Er2Cd at its relaxed geometry at the PBE-GGA level of DFT.

Cell: 3.5210 3.5210 11.8922 Å, 98.51 98.51 90.00°
Closest atoms and distances in Å follow each position.
Sites, in units of the cell vectors:
Er  0.5900  0.5900  0.1801  4 Cd 3.25, 4 Ho 3.51, 4 Er 3.52
Er  0.4100  0.4100  0.8199  4 Cd 3.25, 4 Ho 3.51, 4 Er 3.52
Ho  0.8033  0.8033  0.6066  8 Ho 3.51-3.52, 4 Er 3.51
Cd  0.0000  0.0000  0.0000  8 Er 3.25, 4 Cd 3.52
Ho  0.1967  0.1967  0.3934  8 Ho 3.51-3.52, 4 Er 3.51

## Properties
SG ... I4/mmm (139)
Polymorph energy (0 for the lowest one) ... 0.00 eV per formula unit
Energy of formation ... -109 meV per atom
DOS(E_F) ... 7.6 states/eV/cell

---

Record 4
Computed, not measured: crystalline HoEr2Cd3 at its relaxed geometry at the PBE-GGA level of DFT.

Cell: 3.7207 3.7207 11.1395 Å, 90.00 90.00 90.00°
Closest atoms and distances in Å follow each position.
Sites, in units of the cell vectors:
Cd  0.0000  0.0000  0.3320  4 Er 3.21, 4 Ho 3.23
Ho  0.5000  0.5000  0.5000  8 Cd 3.23
Cd  0.0000  0.0000  0.0000  8 Er 3.22
Cd  0.0000  0.0000  0.6680  4 Er 3.21, 4 Ho 3.23
Er  0.5000  0.5000  0.1662  8 Cd 3.21-3.22
Er  0.5000  0.5000  0.8338  8 Cd 3.21-3.22

## Properties
SG ... P4/mmm (123)
Energy of formation ... -317 meV per atom
DOS(E_F) ... 5.4 states/eV/cell

---

Record 5
Computed, not measured: crystalline Ho3Er3Cd2 at its relaxed geometry at the PBE-GGA level of DFT.

Cell: 5.1780 6.3344 15.5811 Å, 90.00 90.00 114.12°
Closest atoms and distances in Å follow each position.
Sites, in units of the cell vectors:
Ho  0.7367  0.4734  0.2500  4 Cd 3.13, 1 Er 3.28, 2 Ho 3.41
Er  0.3556  0.7111  0.5331  3 Cd 3.04-3.20
Er  0.6444  0.2889  0.0331  3 Cd 3.04-3.20
Ho  0.2633  0.5266  0.7500  4 Cd 3.13, 1 Er 3.28, 2 Ho 3.41
Cd  0.2272  0.4543  0.3627  4 Er 3.04-3.20, 3 Ho 3.13-3.16
Er  0.5470  0.0940  0.7500  2 Cd 3.15, 5 Ho 3.28-3.44
Er  0.3556  0.7111  0.9669  3 Cd 3.04-3.20
Ho  0.9574  0.9148  0.3953  1 Cd 3.16, 2 Ho 3.41, 2 Er 3.44
Er  0.4530  0.9060  0.2500  2 Cd 3.15, 5 Ho 3.28-3.44
Cd  0.7728  0.5457  0.8627  4 Er 3.04-3.20, 3 Ho 3.13-3.16
Er  0.6444  0.2889  0.4669  3 Cd 3.04-3.20
Ho  0.0426  0.0852  0.6047  1 Cd 3.16, 2 Ho 3.41, 2 Er 3.44
Ho  0.0426  0.0852  0.8953  1 Cd 3.16, 2 Ho 3.41, 2 Er 3.44
Ho  0.9574  0.9148  0.1047  1 Cd 3.16, 2 Ho 3.41, 2 Er 3.44
Cd  0.7728  0.5457  0.6373  4 Er 3.04-3.20, 3 Ho 3.13-3.16
Cd  0.2272  0.4543  0.1373  4 Er 3.04-3.20, 3 Ho 3.13-3.16

## Properties
SG ... Cmcm (63)
Energy of formation ... -51 meV per atom
DOS(E_F) ... 22.6 states/eV/cell

---

Record 6
Computed, not measured: crystalline Ho7Er2Cd2 at its relaxed geometry at the PBE-GGA level of DFT.

Cell: 8.3811 6.4448 6.4448 Å, 97.48 77.21 77.21°
Closest atoms and distances in Å follow each position.
Sites, in units of the cell vectors:
Ho  0.5825  0.1407  0.1407  2 Ho 3.14-3.30, 1 Cd 3.32, 4 Er 3.40-3.45
Cd  0.1757  0.6197  0.6197  6 Ho 3.07-3.32, 2 Er 3.12
Ho  0.0000  0.0000  0.0000  2 Cd 3.07, 2 Ho 3.30
Er  0.5000  0.3168  0.6832  2 Cd 3.12, 6 Ho 3.35-3.45
Ho  0.8263  0.5189  0.8737  3 Cd 3.19-3.49, 1 Er 3.35, 1 Ho 3.44
Cd  0.8243  0.3803  0.3803  6 Ho 3.07-3.32, 2 Er 3.12
Er  0.5000  0.6832  0.3168  2 Cd 3.12, 6 Ho 3.35-3.45
Ho  0.4175  0.8593  0.8593  2 Ho 3.14-3.30, 1 Cd 3.32, 4 Er 3.40-3.45
Ho  0.8263  0.8737  0.5189  3 Cd 3.19-3.49, 1 Er 3.35, 1 Ho 3.44
Ho  0.1737  0.1263  0.4811  3 Cd 3.19-3.49, 1 Er 3.35, 1 Ho 3.44
Ho  0.1737  0.4811  0.1263  3 Cd 3.19-3.49, 1 Er 3.35, 1 Ho 3.44

## Properties
SG ... C2/m (12)
Energy of formation ... -44 meV per atom
DOS(E_F) ... 12.8 states/eV/cell

---

Record 7
Computed, not measured: crystalline HoEr3Cd4 at its relaxed geometry at the PBE-GGA level of DFT.

Cell: 5.2336 7.4934 10.4667 Å, 90.00 90.00 90.00°
Closest atoms and distances in Å follow each position.
Sites, in units of the cell vectors:
Er  0.5001  0.5000  0.2500  8 Cd 3.22
Cd  0.5000  0.7509  0.0000  6 Er 3.21-3.22, 2 Ho 3.22
Cd  0.0000  0.7509  0.2500  6 Er 3.21-3.22, 2 Ho 3.22
Cd  0.0000  0.7509  0.7500  6 Er 3.21-3.22, 2 Ho 3.22
Ho  0.0000  0.5000  0.5000  8 Cd 3.22
Cd  0.5000  0.2491  0.0000  6 Er 3.21-3.22, 2 Ho 3.22
Er  0.0000  0.0000  0.5000  8 Cd 3.21
Er  0.5001  0.0000  0.2500  8 Cd 3.21
Cd  0.5000  0.2491  0.5000  6 Er 3.21-3.22, 2 Ho 3.22
Er  0.4999  0.0000  0.7500  8 Cd 3.21
Er  0.0000  0.0000  0.0000  8 Cd 3.21
Er  0.4999  0.5000  0.7500  8 Cd 3.22
Ho  0.0000  0.5000  0.0000  8 Cd 3.22
Cd  0.0000  0.2491  0.7500  6 Er 3.21-3.22, 2 Ho 3.22
Cd  0.0000  0.2491  0.2500  6 Er 3.21-3.22, 2 Ho 3.22
Cd  0.5000  0.7509  0.5000  6 Er 3.21-3.22, 2 Ho 3.22

## Properties
SG ... P4/mmm (123)
Energy of formation ... -317 meV per atom
DOS(E_F) ... 14.8 states/eV/cell

---

Record 8
Computed, not measured: crystalline Ho2ErCd at its relaxed geometry at the PBE-GGA level of DFT.

Cell: 3.9660 5.3284 5.3284 Å, 90.00 90.00 90.00°
Closest atoms and distances in Å follow each position.
Sites, in units of the cell vectors:
Er  0.5000  0.5000  0.5000  8 Ho 3.32
Ho  0.0000  0.0000  0.5000  4 Cd 3.32, 4 Er 3.32
Cd  0.5000  0.0000  0.0000  8 Ho 3.32
Ho  0.0000  0.5000  0.0000  4 Er 3.32, 4 Cd 3.32

## Properties
SG ... P4/mmm (123)
Polymorph energy (0 for the lowest one) ... 0.36 eV per formula unit
Energy of formation ... -54 meV per atom
DOS(E_F) ... 5.0 states/eV/cell